[1]
Compound: HfCrNi2H
Source: Alexandria via LeMat-Bulk
Functional: PBE
Structure: relaxed

Values from the calculation:
The uncorrected energy comes out at -7.0378 eV per atom.

a = 3.807 Å, b = 3.807 Å, c = 3.894 Å
α = 90.00°, β = 90.00°, γ = 90.00°
Atoms (fractional coordinates):
Ni 0.500 0.000 0.000
Hf 0.500 0.500 0.500
H 0.000 0.000 0.000
Cr 0.000 0.000 0.500
Ni 0.000 0.500 0.000

***

[2]
Compound: SrP3H10C3NO9
Source: Alexandria via LeMat-Bulk
Functional: PBE
Structure: relaxed

Values from the calculation:
The uncorrected energy comes out at -6.1190 eV per atom.

a = 14.123 Å, b = 8.219 Å, c = 11.141 Å
α = 60.61°, β = 90.00°, γ = 90.00°
Atoms (fractional coordinates):
H 0.434 0.629 0.631
O 0.218 0.711 0.759
O 0.778 0.959 0.434
O 0.359 0.328 0.834
H 0.682 0.669 0.756
H 0.091 0.200 0.067
O 0.761 0.625 0.873
O 0.423 0.540 0.591
O 0.282 0.711 0.259
O 0.782 0.289 0.241
H 0.804 0.860 0.524
H 0.026 0.022 0.590
O 0.123 0.298 0.806
C 0.576 0.031 0.661
P 0.328 0.842 0.123
H 0.555 0.294 0.629
Sr 0.849 0.434 0.575
O 0.335 0.790 0.010
P 0.959 0.784 0.245
H 0.591 0.800 0.433
N 0.526 0.164 0.697
H 0.652 0.038 0.682
O 0.739 0.625 0.373
O 0.963 0.695 0.401
C 0.452 0.877 0.158
P 0.141 0.363 0.187
H 0.111 0.042 0.245
O 0.222 0.041 0.566
N 0.974 0.164 0.197
H 0.182 0.331 0.744
P 0.672 0.158 0.877
O 0.577 0.460 0.409
H 0.934 0.371 0.869
H 0.504 0.216 0.862
H 0.526 0.978 0.910
C 0.048 0.877 0.658
O 0.448 0.764 0.683
P 0.172 0.842 0.623
Sr 0.151 0.566 0.425
O 0.052 0.764 0.183
O 0.537 0.695 0.901
O 0.239 0.375 0.127
H 0.348 0.962 0.318
O 0.877 0.702 0.194
H 0.818 0.669 0.256
H 0.152 0.962 0.818
H 0.566 0.371 0.369
O 0.037 0.305 0.599
H 0.066 0.629 0.131
H 0.909 0.800 0.933
H 0.055 0.706 0.871
N 0.026 0.836 0.803
H 0.932 0.087 0.049
C 0.424 0.969 0.339
C 0.076 0.969 0.839
O 0.835 0.210 0.490
C 0.952 0.123 0.342
Sr 0.349 0.566 0.925
O 0.077 0.540 0.091
O 0.141 0.328 0.334
P 0.459 0.216 0.255
H 0.945 0.294 0.129
H 0.409 0.200 0.567
H 0.996 0.216 0.362
O 0.377 0.298 0.306
O 0.641 0.672 0.166
H 0.696 0.860 0.024
O 0.923 0.460 0.909
C 0.921 0.824 0.829
H 0.389 0.042 0.745
H 0.304 0.140 0.976
H 0.445 0.706 0.371
H 0.889 0.958 0.755
O 0.718 0.289 0.741
H 0.474 0.022 0.090
Sr 0.651 0.434 0.075
O 0.165 0.790 0.510
C 0.924 0.031 0.161
O 0.261 0.375 0.627
C 0.421 0.176 0.671
O 0.665 0.210 0.990
H 0.848 0.038 0.182
P 0.828 0.158 0.377
H 0.432 0.913 0.451
H 0.068 0.913 0.951
H 0.318 0.331 0.244
O 0.463 0.305 0.099
P 0.041 0.216 0.755
O 0.623 0.702 0.694
O 0.278 0.041 0.066
O 0.859 0.672 0.666
H 0.496 0.784 0.138
H 0.568 0.087 0.549
C 0.079 0.176 0.171
N 0.474 0.836 0.303
C 0.548 0.123 0.842
P 0.859 0.637 0.813
O 0.948 0.236 0.817
H 0.196 0.140 0.476
O 0.722 0.959 0.934
P 0.641 0.637 0.313
O 0.552 0.236 0.317
C 0.579 0.824 0.329
P 0.359 0.363 0.687
H 0.004 0.784 0.638
H 0.611 0.958 0.255
P 0.541 0.784 0.745
H 0.974 0.978 0.410

***

[3]
Compound: Sr2CoAu
Source: Alexandria via LeMat-Bulk
Functional: PBE
Structure: relaxed

Values from the calculation:
The value obtained for the formation energy is -149 meV/atom.

a = 4.495 Å, b = 4.509 Å, c = 6.098 Å
α = 68.30°, β = 90.00°, γ = 90.00°
Atoms (fractional coordinates):
Au 0.000 0.682 0.511
Sr 0.000 0.980 0.915
Co 0.500 0.573 0.730
Sr 0.500 0.265 0.344

***

[4]
Compound: PrErPd
Source: Alexandria via LeMat-Bulk
Functional: PBE
Structure: relaxed

Values from the calculation:
The value obtained for the formation energy is -420 meV/atom. Its energy above the most stable polymorph in this dataset is 163 meV/atom.

a = 4.970 Å, b = 4.970 Å, c = 4.970 Å
α = 60.00°, β = 60.00°, γ = 60.00°
Atoms (fractional coordinates):
Er 0.500 0.500 0.500
Pd 0.250 0.250 0.250
Pr 0.000 0.000 0.000

***

[5]
Compound: LiAsPdPt
Source: Alexandria via LeMat-Bulk
Functional: PBE
Structure: relaxed

Values from the calculation:
The value obtained for the formation energy is -486 meV/atom. Its energy above the most stable polymorph in this dataset is 0 meV/atom.

a = 3.556 Å, b = 3.999 Å, c = 4.121 Å
α = 90.00°, β = 90.00°, γ = 90.00°
Atoms (fractional coordinates):
As 0.500 0.500 0.000
Pt 0.000 0.000 0.000
Pd 0.000 0.500 0.500
Li 0.500 0.000 0.500

***

[6]
Compound: Tc2HgW
Source: Alexandria via LeMat-Bulk
Functional: PBE
Structure: relaxed

Values from the calculation:
The value obtained for the formation energy is 474 meV/atom.

a = 4.870 Å, b = 4.870 Å, c = 4.956 Å
α = 77.22°, β = 77.22°, γ = 35.56°
Atoms (fractional coordinates):
Tc 0.017 0.017 0.964
Hg 0.250 0.250 0.250
Tc 0.483 0.483 0.536
W 0.750 0.750 0.750

***

[7]
Compound: MgMo2Os
Source: Alexandria via LeMat-Bulk
Functional: PBE
Structure: relaxed

Values from the calculation:
The value obtained for the formation energy is 251 meV/atom.

a = 5.226 Å, b = 5.271 Å, c = 2.710 Å
α = 76.52°, β = 81.85°, γ = 116.35°
Atoms (fractional coordinates):
Mo 0.000 0.500 0.500
Os 0.500 0.500 0.000
Mg 0.500 0.000 0.500
Mo 0.000 0.000 0.000

***

[8]
Compound: Mg2ScHg
Source: Alexandria via LeMat-Bulk
Functional: PBE
Structure: relaxed

Values from the calculation:
The value obtained for the formation energy is -97 meV/atom.

a = 5.665 Å, b = 5.665 Å, c = 5.665 Å
α = 134.81°, β = 134.81°, γ = 65.83°
Atoms (fractional coordinates):
Sc 0.250 0.750 0.500
Mg 0.500 0.500 0.000
Mg 0.000 0.000 0.000
Hg 0.750 0.250 0.500

***

[9]
Compound: Be4Pt3Au
Source: Alexandria via LeMat-Bulk
Functional: PBE
Structure: relaxed

Values from the calculation:
The value obtained for the formation energy is -598 meV/atom.

a = 2.809 Å, b = 2.809 Å, c = 12.184 Å
α = 90.00°, β = 90.00°, γ = 90.00°
Atoms (fractional coordinates):
Pt 0.500 0.500 0.500
Be 0.000 0.000 0.861
Au 0.500 0.500 0.000
Pt 0.500 0.500 0.256
Be 0.000 0.000 0.139
Pt 0.500 0.500 0.744
Be 0.000 0.000 0.378
Be 0.000 0.000 0.622

***

[10]
Compound: Ag3PPt
Source: Alexandria via LeMat-Bulk
Functional: PBE
Structure: relaxed

Values from the calculation:
The value obtained for the formation energy is 542 meV/atom. Its energy above the most stable polymorph in this dataset is 0 meV/atom.

a = 4.634 Å, b = 4.634 Å, c = 4.634 Å
α = 90.00°, β = 90.00°, γ = 90.00°
Atoms (fractional coordinates):
Ag 0.000 0.500 0.000
Ag 0.000 0.000 0.500
Ag 0.500 0.000 0.000
P 0.000 0.000 0.000
Pt 0.500 0.500 0.500

***

[11]
Compound: Rb3Pb
Source: Alexandria via LeMat-Bulk
Functional: PBE
Structure: relaxed

Values from the calculation:
The value obtained for the formation energy is 55 meV/atom.

a = 6.035 Å, b = 6.036 Å, c = 6.035 Å
α = 90.00°, β = 90.00°, γ = 90.00°
Atoms (fractional coordinates):
Pb 0.500 0.000 0.583
Rb 0.000 0.500 0.583
Rb 0.000 0.000 0.083
Rb 0.500 0.500 0.084

***

[12]
Compound: KPmDy2Se4
Source: Alexandria via LeMat-Bulk
Functional: PBE
Structure: relaxed

Values from the calculation:
As for the raw formation energy: -1.73 eV per atom.

a = 4.131 Å, b = 7.368 Å, c = 7.312 Å
α = 71.59°, β = 90.00°, γ = 90.00°
Atoms (fractional coordinates):
K 0.000 0.500 0.500
Dy 0.000 0.000 0.000
Se 0.500 0.227 0.765
Se 0.500 0.773 0.235
Dy 0.500 0.000 0.500
Se 0.000 0.235 0.250
Pm 0.500 0.500 0.000
Se 0.000 0.765 0.750

***

[13]
Compound: TbPm6Er2Tm
Source: Alexandria via LeMat-Bulk
Functional: PBE
Structure: relaxed

Values from the calculation:
The value obtained for the formation energy is 117 meV/atom.

a = 9.562 Å, b = 8.896 Å, c = 8.896 Å
α = 117.60°, β = 93.65°, γ = 93.65°
Atoms (fractional coordinates):
Er 0.547 0.202 0.301
Pm 0.813 0.437 0.991
Pm 0.687 0.009 0.563
Er 0.047 0.301 0.202
Tm 0.250 0.412 0.588
Pm 0.554 0.762 0.118
Pm 0.382 0.511 0.292
Pm 0.882 0.292 0.511
Er 0.453 0.798 0.699
Pm 0.054 0.118 0.762
Pm 0.946 0.882 0.238
Pm 0.118 0.708 0.489
Tb 0.250 0.972 0.028
Pm 0.446 0.238 0.882
Tm 0.750 0.588 0.412
Pm 0.618 0.489 0.708
Pm 0.313 0.991 0.437
Pm 0.187 0.563 0.009
Er 0.953 0.699 0.798
Tb 0.750 0.028 0.972

***

[14]
Compound: TaAuC3
Source: Alexandria via LeMat-Bulk
Functional: PBE
Structure: relaxed

Values from the calculation:
The value obtained for the formation energy is 2073 meV/atom. Its energy above the most stable polymorph in this dataset is 0 meV/atom.

a = 4.219 Å, b = 4.219 Å, c = 4.219 Å
α = 90.00°, β = 90.00°, γ = 90.00°
Atoms (fractional coordinates):
C 0.000 0.500 0.000
C 0.500 0.000 0.000
Ta 0.000 0.000 0.000
Au 0.500 0.500 0.500
C 0.000 0.000 0.500

***

[15]
Compound: Cr2CdTc
Source: Alexandria via LeMat-Bulk
Functional: PBE
Structure: relaxed

Values from the calculation:
The value obtained for the formation energy is 594 meV/atom.

a = 4.754 Å, b = 4.754 Å, c = 2.702 Å
α = 90.00°, β = 90.00°, γ = 109.82°
Atoms (fractional coordinates):
Tc 0.500 0.000 0.500
Cd 0.000 0.500 0.500
Cr 0.000 0.000 0.000
Cr 0.500 0.500 0.000

***

[16]
Compound: Ce3Pd12Pb
Source: Alexandria via LeMat-Bulk
Functional: PBE
Structure: relaxed

Values from the calculation:
The value obtained for the formation energy is -688 meV/atom.

a = 4.151 Å, b = 4.151 Å, c = 16.554 Å
α = 90.00°, β = 90.00°, γ = 90.00°
Atoms (fractional coordinates):
Pd 0.500 0.000 0.374
Pd 0.000 0.500 0.626
Pd 0.500 0.500 0.249
Pd 0.500 0.000 0.626
Ce 0.000 0.000 0.500
Ce 0.000 0.000 0.752
Pd 0.500 0.500 0.751
Pd 0.000 0.500 0.374
Pd 0.000 0.500 0.126
Ce 0.000 0.000 0.248
Pd 0.500 0.500 0.500
Pd 0.500 0.500 0.000
Pd 0.500 0.000 0.126
Pd 0.000 0.500 0.874
Pd 0.500 0.000 0.874
Pb 0.000 0.000 0.000

***

[17]
Compound: SrZn2Sb
Source: Alexandria via LeMat-Bulk
Functional: PBE
Structure: relaxed

Values from the calculation:
As for the raw formation energy: 0.18 eV per atom.

a = 6.699 Å, b = 6.699 Å, c = 8.228 Å
α = 65.98°, β = 65.98°, γ = 90.00°
Atoms (fractional coordinates):
Sb 0.750 0.250 0.500
Zn 0.375 0.302 0.750
Sr 0.250 0.750 0.500
Sr 0.500 0.500 0.000
Zn 0.052 0.625 0.250
Zn 0.875 0.948 0.750
Zn 0.698 0.125 0.250
Sb 0.000 0.000 0.000

***

[18]
Compound: TbSmMo4
Source: Alexandria via LeMat-Bulk
Functional: PBE
Structure: relaxed

Values from the calculation:
The value obtained for the formation energy is 160 meV/atom.

a = 5.546 Å, b = 5.546 Å, c = 5.546 Å
α = 60.00°, β = 60.00°, γ = 60.00°
Atoms (fractional coordinates):
Mo 0.125 0.625 0.625
Mo 0.625 0.625 0.125
Mo 0.625 0.625 0.625
Mo 0.625 0.125 0.625
Tb 0.000 0.000 0.000
Sm 0.250 0.250 0.250

***

[19]
Compound: Mn4TlW
Source: Alexandria via LeMat-Bulk
Functional: PBE
Structure: relaxed

Values from the calculation:
The value obtained for the formation energy is 349 meV/atom.

a = 4.859 Å, b = 4.859 Å, c = 4.859 Å
α = 60.00°, β = 60.00°, γ = 60.00°
Atoms (fractional coordinates):
Mn 0.874 0.375 0.375
Mn 0.375 0.874 0.375
Mn 0.375 0.375 0.375
Mn 0.375 0.375 0.874
W 0.000 0.000 0.000
Tl 0.750 0.750 0.750

***

[20]
Compound: Sr2PaTaO6
Source: Alexandria via LeMat-Bulk
Functional: PBE
Structure: relaxed

Values from the calculation:
As for the raw formation energy: -2.91 eV per atom.

a = 4.246 Å, b = 4.246 Å, c = 8.646 Å
α = 90.00°, β = 90.00°, γ = 90.00°
Atoms (fractional coordinates):
O 0.000 0.500 0.500
Sr 0.000 0.000 0.712
O 0.500 0.500 0.260
Sr 0.000 0.000 0.288
O 0.000 0.500 0.000
O 0.500 0.000 0.000
O 0.500 0.000 0.500
Ta 0.500 0.500 0.500
Pa 0.500 0.500 0.000
O 0.500 0.500 0.740